Crystalline Li2AcCr2O7 at its relaxed geometry, computed with PBE with a Hubbard U.

a = 5.466 Å, b = 5.466 Å, c = 8.525 Å
α = 71.30°, β = 71.30°, γ = 60.00°
Site moments in Bohr magnetons follow the coordinates.
Element x y z (fractional)
O 0.191 0.916 0.302  -0.04
O 0.591 0.191 0.302  -0.04
O 0.809 0.409 0.698  -0.04
O 0.084 0.809 0.698  -0.04
O 0.916 0.591 0.302  -0.04
O 0.409 0.084 0.698  -0.04
O 0.000 0.000 0.000  -0.11
Li 0.250 0.250 0.250  0.00
Li 0.750 0.750 0.750  0.00
Cr 0.075 0.075 0.775  1.67
Cr 0.925 0.925 0.225  1.67
Ac 0.500 0.500 0.500  0.01

calculated volume = 204.95 Å³/f.u.
space-group type = R32 (155)
raw total energy = -6.801 eV/atom
total magnetization = 3.0 μB per formula unit